Entry 1:
The following is a DFT calculation (PBE-GGA) of crystalline CdHgOs at its relaxed geometry.

The density of states at the Fermi level comes out at 19.07 states/eV per cell. The value obtained for the formation enthalpy at 0 K is 24.5 kcal/mol of atoms. Its spin magnetization is 4.394 μB/cell.

The structure belongs to space group F-43m (No. 216); the cell edges are 6.445, 6.445 and 6.445 Å and the angles 90.00°, 90.00° and 90.00°. The inequivalent atoms are Cd at (0.000, 0.000, 0.000), Hg at (0.000, 0.000, 0.500) and Os at (0.250, 0.250, 0.750).

***

Entry 2:
The following is a DFT calculation (PBE-GGA) of crystalline CdHgOs2 at its relaxed geometry.

The density of states at the Fermi level comes out at 9.36 states/eV per cell. The value obtained for the formation enthalpy at 0 K is 19.0 kcal/mol of atoms. Its spin magnetization is 0.000 μB/cell.

The structure belongs to space group R-3m (No. 166, hexagonal axes); the cell edges are 2.8699, 2.8699 and 28.5607 Å and the angles 90.00°, 90.00° and 120.00°. The inequivalent atoms are Cd at (0.0000, 0.0000, 0.0000), Hg at (0.0000, 0.0000, 0.5000) and Os at (0.0000, 0.0000, 0.2504).

***

Entry 3:
The following is a DFT calculation (PBE-GGA) of crystalline CdHgOs2 at its relaxed geometry.

The density of states at the Fermi level comes out at 4.09 states/eV per cell. The value obtained for the formation enthalpy at 0 K is 19.7 kcal/mol of atoms. Its spin magnetization is 0.001 μB/cell.

The structure belongs to space group P2/m (No. 10); the cell edges are 2.860, 4.896 and 4.977 Å and the angles 90.00°, 91.00° and 90.00°. The inequivalent atoms are Cd at (0.000, 0.000, 0.000), Hg at (0.500, 0.000, 0.500) and Os at (0.287, 0.500, 0.227).